Sm3Sn13Ir4, relaxed, DFT PBE-GGA; space group = No. 223; energy of formation = -0.496 eV/atom
1.0
9.7892 0.0000 0.0000
0.0000 9.7892 0.0000
0.0000 0.0000 9.7892
Sn Sm Ir
26 6 8
Cartesian
3.0094 1.4863 0.0000
1.8852 4.8946 3.4083
6.7798 1.4863 0.0000
7.9039 4.8946 3.4083
4.8946 6.3809 1.8852
4.8946 3.4083 7.9039
6.3809 1.8852 4.8946
1.8852 4.8946 6.3809
1.4863 0.0000 6.7798
0.0000 3.0094 8.3029
4.8946 4.8946 4.8946
3.0094 8.3029 0.0000
0.0000 6.7798 1.4863
0.0000 3.0094 1.4863
1.4863 0.0000 3.0094
3.4083 7.9039 4.8946
6.7798 8.3029 0.0000
8.3029 0.0000 3.0094
0.0000 0.0000 0.0000
7.9039 4.8946 6.3809
8.3029 0.0000 6.7798
4.8946 3.4083 1.8852
4.8946 6.3809 7.9039
3.4083 1.8852 4.8946
0.0000 6.7798 8.3029
6.3809 7.9039 4.8946
7.3419 4.8946 0.0000
0.0000 2.4473 4.8946
2.4473 4.8946 0.0000
0.0000 7.3419 4.8946
4.8946 0.0000 2.4473
4.8946 0.0000 7.3419
2.4473 2.4473 2.4473
7.3419 7.3419 2.4473
2.4473 7.3419 7.3419
7.3419 2.4473 2.4473
2.4473 2.4473 7.3419
7.3419 7.3419 7.3419
2.4473 7.3419 2.4473
7.3419 2.4473 7.3419

---

Sr2SmSn4Ir3, relaxed, DFT PBE-GGA; space group = No. 115; energy of formation = -0.449 eV/atom
1.0
4.5445 0.0000 0.0000
0.0000 4.5445 0.0000
0.0000 0.0000 12.1008
Sr Sn Ir Sm
2 4 3 1
Cartesian
2.2722 0.0000 2.7998
0.0000 2.2722 9.3010
2.2722 0.0000 8.0410
0.0000 0.0000 0.0000
0.0000 2.2722 4.0597
2.2722 2.2722 0.0000
0.0000 0.0000 6.0504
0.0000 2.2722 1.4368
2.2722 0.0000 10.6639
2.2722 2.2722 6.0504

---

SrSmIr, relaxed, DFT PBE-GGA; ΔE to the lowest computed polymorph = 0.1426 eV/atom; space group = No. 12; energy of formation = -0.194 eV/atom
1.0
4.0402 0.0000 0.0000
0.0000 9.2953 1.1907
-2.0201 0.6096 11.3795
Sm Sr Ir
4 4 4
Cartesian
2.0201 0.4675 3.6387
2.0201 6.0645 5.3693
0.0000 9.4373 8.9316
0.0000 3.8404 7.2010
2.0201 6.1198 9.5975
0.0000 3.7851 2.9728
2.0201 7.3227 1.5097
0.0000 2.5822 11.0606
0.0000 6.7252 7.3286
2.0201 8.4525 7.2250
2.0201 3.1796 5.2417
0.0000 1.4524 5.3453

---

SrSmIr, relaxed, DFT PBE-GGA; ΔE to the lowest computed polymorph = 0.0000 eV/atom; space group = No. 107; energy of formation = -0.336 eV/atom
1.0
-2.8103 2.0171 -0.9684
-1.9895 -2.9641 -0.4004
0.4280 0.9032 7.3023
Sm Ir Sr
1 1 1
Cartesian
-1.1197 0.2440 3.7576
-3.1124 -0.3182 1.7067
-0.1398 0.0305 0.4693

---

SrSmIr, relaxed, DFT PBE-GGA; ΔE to the lowest computed polymorph = 0.0169 eV/atom; space group = No. 156; energy of formation = -0.319 eV/atom
1.0
-0.4182 -2.5191 6.2289
4.1930 0.0248 0.2915
-2.2108 3.3631 1.2117
Sr Sm Ir
1 1 1
Cartesian
1.7424 -0.7659 5.3048
-0.1691 1.6912 2.2875
-0.0094 -0.0565 0.1398

---

SrSmIr4, relaxed, DFT PBE-GGA; space group = No. 216; energy of formation = -0.498 eV/atom
1.0
5.4419 0.0000 0.0000
2.7210 4.7128 0.0000
2.7210 1.5709 4.4433
Ir Sr Sm
4 1 1
Cartesian
6.8012 3.9267 2.7766
4.0826 3.9267 2.7766
5.4419 1.5723 2.7766
5.4419 3.1419 0.5569
0.0000 0.0000 0.0000
2.7210 1.5709 1.1108

---

SrSm3Ir, relaxed, DFT PBE-GGA; space group = No. 221; energy of formation = -0.269 eV/atom
1.0
-4.2811 -1.6312 -3.2885
2.0961 -5.2336 -0.1327
-3.0135 -1.3231 4.5794
Sm Ir Sr
3 1 1
Cartesian
-2.1405 -0.8156 -1.6442
1.0480 -2.6168 -0.0664
-1.5067 -0.6615 2.2897
0.0000 0.0000 0.0000
-2.5992 -4.0939 0.5791

---

Sr2SmIr9, relaxed, DFT PBE-GGA; space group = No. 166; energy of formation = -0.277 eV/atom
1.0
-5.0106 1.7111 -1.0687
-2.3153 -1.2076 -4.7283
-5.7364 -7.2829 1.5838
Ir Sm Sr
9 1 2
Cartesian
-4.4691 -1.5190 -2.0799
-5.6054 -2.1117 -4.4005
-6.1340 -6.1001 -1.6088
-8.5932 -5.2603 -2.1334
-2.4585 0.1304 -1.9147
-6.9282 -0.6792 -2.6044
-6.5311 -3.3897 -2.1066
-7.4568 -4.6676 0.1872
-10.6037 -6.9098 -2.2986
0.0000 0.0000 0.0000
-4.3334 -4.1098 0.0863
-8.7289 -2.6696 -4.2996

---

| no. | magnetic moment (μB/f.u.) | final energy (hartree per atom) |
| --- | --- | --- |
| 1 | 0.000 | -0.2050 |
| 2 | 0.000 | -0.2027 |
| 3 | 0.000 | -0.1941 |
| 4 | 0.000 | -0.1993 |
| 5 | 0.000 | -0.1987 |
| 6 | 0.000 | -0.2746 |
| 7 | 0.000 | -0.1914 |
| 8 | 0.000 | -0.2792 |